First-principles (PBE) data for an optimized crystal structure of PrSm2Dy3As6, as listed in the Alexandria database.

* electronic total energy: -6.18 eV/atom
* DOS(E_F): 1.8 states/eV/f.u.

```
data_PrSm2Dy3As6
_chemical_formula_sum 'Pr1 Sm2 Dy3 As6'
_symmetry_space_group_name_H-M 'P 1'
_symmetry_Int_Tables_number 1
_symmetry_space_group_name_Hall 'P 1'
_cell_length_a 7.246
_cell_length_b 7.246
_cell_length_c 7.243
_cell_angle_alpha 99.59
_cell_angle_beta 99.59
_cell_angle_gamma 119.99
loop_
_atom_site_label
_atom_site_fract_x
_atom_site_fract_y
_atom_site_fract_z
Pr1 0.000 0.000 0.000
Sm1 0.333 0.667 0.000
Sm2 0.667 0.333 0.000
Dy1 0.166 0.834 0.500
Dy2 0.500 0.500 0.500
Dy3 0.834 0.166 0.500
As1 0.086 0.422 0.258
As2 0.250 0.250 0.742
As3 0.422 0.086 0.258
As4 0.578 0.914 0.742
As5 0.750 0.750 0.258
As6 0.914 0.578 0.742
```

=====

First-principles (PBE) data for an optimized crystal structure of RbLi3Bi, as listed in the Alexandria database.

* DOS(E_F): 2.5 states/eV/f.u.
* energy above the most stable polymorph in this dataset: 0.819 eV/atom

```
data_RbLi3Bi
_chemical_formula_sum 'Rb1 Li3 Bi1'
_symmetry_space_group_name_H-M 'P 1'
_symmetry_Int_Tables_number 1
_symmetry_space_group_name_Hall 'P 1'
_cell_length_a 5.341
_cell_length_b 5.341
_cell_length_c 5.341
_cell_angle_alpha 90.00
_cell_angle_beta 90.00
_cell_angle_gamma 90.00
loop_
_atom_site_label
_atom_site_fract_x
_atom_site_fract_y
_atom_site_fract_z
Rb1 0.000 0.000 0.000
Li1 0.000 0.000 0.500
Li2 0.000 0.500 0.000
Li3 0.500 0.000 0.000
Bi1 0.500 0.500 0.500
```

=====

First-principles (PBE) data for an optimized crystal structure of La2PrAg2, as listed in the Alexandria database.

* DOS(E_F): 5.1 states/eV/f.u.
* energy above the most stable polymorph in this dataset: 0.035 eV/atom

```
data_La2PrAg2
_chemical_formula_sum 'La4 Pr2 Ag4'
_symmetry_space_group_name_H-M 'P 1'
_symmetry_Int_Tables_number 1
_symmetry_space_group_name_Hall 'P 1'
_cell_length_a 4.016
_cell_length_b 5.239
_cell_length_c 14.612
_cell_angle_alpha 90.00
_cell_angle_beta 97.76
_cell_angle_gamma 90.00
loop_
_atom_site_label
_atom_site_fract_x
_atom_site_fract_y
_atom_site_fract_z
La1 0.053 0.250 0.109
La2 0.256 0.750 0.520
La3 0.744 0.250 0.480
La4 0.947 0.750 0.891
Pr1 0.359 0.250 0.717
Pr2 0.641 0.750 0.283
Ag1 0.164 0.250 0.320
Ag2 0.469 0.250 0.938
Ag3 0.531 0.750 0.062
Ag4 0.836 0.750 0.680
```